Y2HoTm3S6 after structural relaxation. Source: Alexandria via LeMat-Bulk, functional GGA-PBE.

The structure in CIF format:
```
data_Y2HoTm3S6
_chemical_formula_sum 'Y2 Ho1 Tm3 S6'
_space_group_name_H-M_alt 'P 1'
_space_group_IT_number 1
_cell_length_a 3.864
_cell_length_b 7.781
_cell_length_c 8.659
_cell_angle_alpha 103.28
_cell_angle_beta 102.89
_cell_angle_gamma 90.00
loop_
_space_group_symop_operation_xyz
'x,y,z'
loop_
_atom_site_label
_atom_site_type_symbol
_atom_site_fract_x
_atom_site_fract_y
_atom_site_fract_z
_atom_site_occupancy
S1 S 0.998 0.252 0.996 1
Y1 Y 0.833 0.667 0.666 1
Tm1 Tm 0.500 0.500 0.000 1
Ho1 Ho 0.500 0.000 0.000 1
Y2 Y 0.167 0.333 0.334 1
S2 S 0.665 0.587 0.330 1
S3 S 0.335 0.413 0.670 1
Tm2 Tm 0.167 0.833 0.334 1
S4 S 0.333 0.922 0.665 1
S5 S 0.002 0.748 0.004 1
Tm3 Tm 0.833 0.167 0.666 1
S6 S 0.667 0.078 0.335 1
```

Computed properties:
Space group = C2/m (12)
Uncorrected energy = -6.601 eV per atom
M_tot = 0.00 μB/f.u.
ΔE_f (raw) = -2270 kJ/mol of formula units

SmHo3Rh3 after structural relaxation. Source: Alexandria via LeMat-Bulk, functional GGA-PBE.

The structure in CIF format:
```
data_SmHo3Rh3
_chemical_formula_sum 'Sm2 Ho6 Rh6'
_space_group_name_H-M_alt 'P 1'
_space_group_IT_number 1
_cell_length_a 6.901
_cell_length_b 6.901
_cell_length_c 6.869
_cell_angle_alpha 90.55
_cell_angle_beta 90.55
_cell_angle_gamma 95.69
loop_
_space_group_symop_operation_xyz
'x,y,z'
loop_
_atom_site_label
_atom_site_type_symbol
_atom_site_fract_x
_atom_site_fract_y
_atom_site_fract_z
_atom_site_occupancy
Rh1 Rh 0.998 0.504 0.266 1
Rh2 Rh 0.504 0.998 0.266 1
Rh3 Rh 0.949 0.949 0.206 1
Ho1 Ho 0.317 0.317 0.603 1
Ho2 Ho 0.813 0.187 0.500 1
Ho3 Ho 0.683 0.683 0.397 1
Rh4 Rh 0.051 0.051 0.794 1
Ho4 Ho 0.757 0.243 0.000 1
Rh5 Rh 0.002 0.496 0.734 1
Ho5 Ho 0.243 0.757 0.000 1
Ho6 Ho 0.187 0.813 0.500 1
Sm1 Sm 0.740 0.740 0.895 1
Rh6 Rh 0.496 0.002 0.734 1
Sm2 Sm 0.260 0.260 0.105 1
```

Computed properties:
Space group = C2/m (12)
Uncorrected energy = -6.472 eV per atom
M_tot = 0.00 μB/f.u.
DFT formation energy = -0.685 eV/atom

Ac3S4 after structural relaxation. Source: Alexandria via LeMat-Bulk, functional GGA-PBE.

The structure in CIF format:
```
data_Ac3S4
_chemical_formula_sum 'Ac3 S4'
_space_group_name_H-M_alt 'P 1'
_space_group_IT_number 1
_cell_length_a 6.045
_cell_length_b 6.045
_cell_length_c 6.045
_cell_angle_alpha 90.00
_cell_angle_beta 90.00
_cell_angle_gamma 90.00
loop_
_space_group_symop_operation_xyz
'x,y,z'
loop_
_atom_site_label
_atom_site_type_symbol
_atom_site_fract_x
_atom_site_fract_y
_atom_site_fract_z
_atom_site_occupancy
Ac1 Ac 0.000 0.500 0.000 1
Ac2 Ac 0.500 0.000 0.000 1
S1 S 0.000 0.000 0.000 1
S2 S 0.500 0.500 0.000 1
S3 S 0.500 0.000 0.500 1
S4 S 0.000 0.500 0.500 1
Ac3 Ac 0.000 0.000 0.500 1
```

Computed properties:
Space group = Pm-3m (221)
Uncorrected energy = -6.088 eV per atom
M_tot = 0.00 μB/f.u.
ΔE_f (raw) = -1330 kJ/mol of formula units